Entry 1:
KHf2H, optimized geometry, DFT PBE; energy above the lowest structure with this stoichiometry = 0.000 eV/atom
1.0
6.4742 0.0000 0.0000
0.0000 6.4742 0.0000
3.2371 3.2371 4.5773
H Hf K
2 4 2
direct
0.2500 0.7500 0.5000
0.5000 0.5000 0.0000
0.3760 0.6250 0.2500
0.3740 0.1250 0.2500
0.3750 0.6260 0.7500
0.8750 0.6240 0.7500
0.0000 0.0000 0.0000
0.7500 0.2500 0.5000

Entry 2:
DyTm2Th, optimized geometry, DFT PBE; energy above the lowest structure with this stoichiometry = 0.102 eV/atom; ΔH_f (0 K) = 125 meV per atom
1.0
5.6184 0.0000 0.0000
2.8092 4.8657 0.0000
2.8092 1.6219 4.5874
Tm Th Dy
2 1 1
direct
0.7500 0.7500 0.7500
0.2500 0.2500 0.2500
0.5000 0.5000 0.5000
0.0000 0.0000 0.0000

Entry 3:
PrSm3Bi2, optimized geometry, DFT PBE; energy above the lowest structure with this stoichiometry = 0.000 eV/atom; ΔH_f (0 K) = -632 meV per atom
1.0
4.6382 0.0000 0.0000
0.0000 4.6382 0.0000
0.0000 0.0000 8.9530
Sm Bi Pr
3 2 1
direct
0.5000 0.0000 0.3528
0.0000 0.0000 0.0000
0.0000 0.5000 0.6472
0.5000 0.0000 0.7161
0.0000 0.5000 0.2839
0.5000 0.5000 0.0000

Entry 4:
Li2SnAu8, optimized geometry, DFT PBE; energy above the lowest structure with this stoichiometry = 0.024 eV/atom; ΔH_f (0 K) = -221 meV per atom
1.0
-4.2226 -1.5038 0.0441
-0.3820 0.8808 -6.6343
4.6571 -5.8614 2.3229
Au Li Sn
8 2 1
direct
0.3571 0.5641 0.7090
0.6464 0.8606 0.2959
0.6429 0.4359 0.2910
0.1690 0.1748 0.3444
0.9983 0.2900 0.9979
0.3536 0.1394 0.7041
0.0017 0.7100 0.0021
0.8310 0.8252 0.6556
0.1956 0.6933 0.3907
0.8044 0.3067 0.6093
0.5000 0.0000 0.0000

Entry 5:
LaSm2HoTm5, optimized geometry, DFT PBE; ΔH_f (0 K) = 266 meV per atom
1.0
8.7447 0.0000 0.0000
0.0000 8.7447 0.0000
-4.3724 -4.3724 7.5845
Ho Tm La Sm
2 10 2 4
direct
0.2500 0.7500 0.5000
0.7500 0.2500 0.5000
0.9267 0.4267 0.2698
0.3430 0.8430 0.2698
0.5000 0.5000 0.0000
0.6570 0.1570 0.7302
0.4267 0.3430 0.2698
0.0000 0.0000 0.0000
0.1570 0.0733 0.7302
0.0733 0.5733 0.7302
0.8430 0.9267 0.2698
0.5733 0.6570 0.7302
0.2500 0.2500 0.5000
0.7500 0.7500 0.5000
0.1157 0.3843 0.0000
0.6157 0.1157 0.0000
0.3843 0.8843 0.0000
0.8843 0.6157 0.0000

Entry 6:
Li2YAsO, optimized geometry, DFT PBE; uncorrected formation energy = -1744 meV per atom
1.0
-1.0363 -2.0837 3.3942
-2.8390 -2.0732 -2.1396
3.1193 -3.2165 -1.0223
O Li As Y
1 2 1 1
direct
0.0000 0.0000 0.0000
0.5000 0.0000 0.0000
0.0000 0.5000 0.0000
0.5000 0.5000 0.5000
0.0000 0.0000 0.5000

Entry 7:
Ru3AuN, optimized geometry, DFT PBE; energy above the lowest structure with this stoichiometry = 2.886 eV/atom; uncorrected formation energy = 3242 meV per atom
1.0
4.9507 0.0000 0.0000
0.0000 4.9507 0.0000
0.0000 0.0000 4.9507
N Ru Au
1 3 1
direct
0.5000 0.5000 0.5000
0.0000 0.5000 0.0000
0.5000 0.0000 0.0000
0.0000 0.0000 0.5000
0.0000 0.0000 0.0000

Entry 8:
K2BeAlO4, optimized geometry, DFT PBE; uncorrected formation energy = -2007 meV per atom
1.0
4.5231 0.0000 0.0000
2.2615 5.6312 0.0000
2.2615 0.0000 10.2803
Al O K Be
2 8 4 2
direct
0.0000 0.0000 0.0000
0.7500 0.5000 0.5000
0.6076 0.1652 0.0868
0.1424 0.3348 0.4132
0.5227 0.3348 0.5868
0.2273 0.1652 0.9132
0.3057 0.8348 0.0868
0.4443 0.6652 0.4132
0.8595 0.8348 0.9132
0.8905 0.6652 0.5868
0.1736 0.0000 0.6528
0.5764 0.5000 0.8472
0.8264 0.0000 0.3472
0.9236 0.5000 0.1528
0.5000 0.0000 0.0000
0.2500 0.5000 0.5000

Entry 9:
Pu2ZnCd, optimized geometry, DFT PBE; energy above the lowest structure with this stoichiometry = 0.234 eV/atom; ΔH_f (0 K) = 264 meV per atom
1.0
3.1379 0.0000 0.0000
1.5689 2.7175 0.0000
1.5689 0.9058 11.5116
Zn Pu Cd
1 2 1
direct
0.5000 0.5000 0.5000
0.0943 0.0943 0.7171
0.9057 0.9057 0.2829
0.0000 0.0000 0.0000

Entry 10:
Li2SmDyGe2, optimized geometry, DFT PBE; ΔH_f (0 K) = -685 meV per atom
1.0
4.4359 0.0000 0.0000
-2.2180 3.8416 0.0000
0.0000 0.0000 7.2931
Ge Li Sm Dy
2 2 1 1
direct
0.6667 0.3333 0.7427
0.3333 0.6667 0.2573
0.3333 0.6667 0.7322
0.6667 0.3333 0.2678
0.0000 0.0000 0.0000
0.0000 0.0000 0.5000

Entry 11:
PuNb2B6, optimized geometry, DFT PBE; ΔH_f (0 K) = -600 meV per atom
1.0
-0.5119 1.4831 3.1891
-5.0408 1.4829 -1.4987
0.8265 -4.8455 2.3860
B Pu Nb
6 1 2
direct
0.5000 0.6621 0.6621
0.5000 0.0000 0.3379
0.5000 0.0000 0.6621
0.5000 0.3379 0.0000
0.5000 0.6621 0.0000
0.5000 0.3379 0.3379
0.0000 0.0000 0.0000
0.0000 0.6667 0.3333
0.0000 0.3333 0.6667

Entry 12:
BPO, optimized geometry, DFT PBE; energy above the lowest structure with this stoichiometry = 0.000 eV/atom; uncorrected formation energy = -1081 meV per atom
1.0
-2.1804 -0.1705 -1.6734
-0.3695 -2.2602 0.7118
-2.8893 2.0874 5.1282
P B O
1 1 1
direct
0.7118 0.0000 0.1724
0.4789 0.0000 0.8598
0.3923 0.5000 0.7497

no.,theoretical density (g/cm3)
1,6.9
2,9.7
3,8.7
4,14.1
5,8.3
6,4.1
7,7.0
8,2.3
9,11.3
10,6.3
11,8.9
12,2.4